No. 1
5
Lattice="6.737 -2.202 0.000 6.737 2.202 0.000 -1.434 0.000 4.165" Properties=species:S:1:pos:R:3 comment="Li2PmPb2 GGA-PBE optimized geometry" space_group=C2/m n_ef_per_ev_cell=1.7 magmom_total_mub_per_fu=0.0 polymorph_energy_mev_per_atom=0 pbc="T T T"
Li 3.011 0.000 1.038
Li 9.029 0.000 3.127
Pm 6.737 0.000 0.000
Pb 0.685 0.000 2.564
Pb 11.355 0.000 1.601

No. 2
4
Lattice="4.852 0.000 0.000 0.000 4.852 0.000 0.000 0.000 4.534" Properties=species:S:1:pos:R:3 comment="LiPmPb2 GGA-PBE optimized geometry" space_group=P4/mmm total_energy_ev_per_atom=-3.966 n_ef_per_ev_cell=1.0 magmom_total_mub_per_fu=0.0 pbc="T T T"
Li 0.000 0.000 0.000
Pm 2.426 2.426 0.000
Pb 0.000 2.426 2.267
Pb 2.426 0.000 2.267